{
  "formula": "K2Li2PdO4",
  "functional": "PBE",
  "state": "optimized geometry",
  "lattice": [[5.982, -1.649, 0.000], [5.982, 1.649, 0.000], [-1.978, 0.000, 5.741]],
  "species": ["K", "K", "Li", "Li", "Pd", "O", "O", "O", "O"],
  "fractional_positions": [[0.138, 0.138, 0.051], [0.862, 0.862, 0.949], [0.322, 0.322, 0.500], [0.678, 0.678, 0.500], [0.000, 0.000, 0.500], [0.187, 0.187, 0.649], [0.485, 0.485, 0.705], [0.515, 0.515, 0.295], [0.813, 0.813, 0.351]],
  "formation_energy_uncorrected_ev_per_atom": -1.26,
  "space_group": "C2/m"
}

---

{
  "formula": "K2Li2PmO4",
  "functional": "PBE",
  "state": "optimized geometry",
  "lattice": [[6.377, -1.774, 0.000], [6.377, 1.774, 0.000], [-2.419, 0.000, 6.088]],
  "species": ["K", "K", "Li", "Li", "Pm", "O", "O", "O", "O"],
  "fractional_positions": [[0.138, 0.138, 0.067], [0.862, 0.862, 0.933], [0.316, 0.316, 0.513], [0.684, 0.684, 0.487], [0.000, 0.000, 0.500], [0.199, 0.199, 0.643], [0.477, 0.477, 0.718], [0.523, 0.523, 0.282], [0.801, 0.801, 0.357]],
  "formation_energy_uncorrected_ev_per_atom": -1.91,
  "dos_at_fermi_per_ev_cell": 7.0,
  "space_group": "C2/m"
}

---

{
  "formula": "K2Li2PtO4",
  "functional": "PBE",
  "state": "optimized geometry",
  "lattice": [[5.986, -1.657, 0.000], [5.986, 1.657, 0.000], [-1.961, 0.000, 5.741]],
  "species": ["K", "K", "Li", "Li", "Pt", "O", "O", "O", "O"],
  "fractional_positions": [[0.138, 0.138, 0.052], [0.862, 0.862, 0.948], [0.321, 0.321, 0.499], [0.679, 0.679, 0.501], [0.000, 0.000, 0.500], [0.187, 0.187, 0.648], [0.485, 0.485, 0.703], [0.515, 0.515, 0.297], [0.813, 0.813, 0.352]],
  "formation_energy_uncorrected_ev_per_atom": -1.32,
  "space_group": "C2/m"
}

---

{
  "formula": "KLiPtO2",
  "functional": "PBE",
  "state": "optimized geometry",
  "lattice": [[5.932, 0.000, 0.000], [0.000, 3.700, 0.000], [-0.074, 0.000, 6.586]],
  "species": ["K", "K", "Li", "Li", "Pt", "Pt", "O", "O", "O", "O"],
  "fractional_positions": [[0.000, 0.001, 0.250], [0.000, 0.999, 0.750], [0.500, 0.000, 0.000], [0.500, 0.000, 0.500], [0.500, 0.500, 0.250], [0.500, 0.500, 0.750], [0.285, 0.500, 0.498], [0.285, 0.500, 0.998], [0.715, 0.500, 0.002], [0.715, 0.500, 0.502]],
  "formation_energy_uncorrected_ev_per_atom": -1.11,
  "space_group": "P2/c"
}